# Cu2PdPbF8 (PBE-GGA, optimized geometry)
data_Cu2PdPbF8
_chemical_formula_sum 'Cu2 Pd1 Pb1 F8'
_cell_length_a 5.632
_cell_length_b 5.632
_cell_length_c 6.570
_cell_angle_alpha 115.38
_cell_angle_beta 115.38
_cell_angle_gamma 90.00
_space_group_name_H-M_alt 'P 1'
_space_group_IT_number 1
loop_
_space_group_symop_operation_xyz
'x,y,z'
loop_
_atom_site_label
_atom_site_fract_x
_atom_site_fract_y
_atom_site_fract_z
_atom_site_occupancy
Cu1 0.500 0.500 0.000 1
Cu2 0.250 0.750 0.500 1
Pd1 0.000 0.000 0.000 1
Pb1 0.750 0.250 0.500 1
F1 0.694 0.821 0.052 1
F2 0.358 0.231 0.052 1
F3 0.588 0.663 0.562 1
F4 0.974 0.899 0.562 1
F5 0.101 0.412 0.438 1
F6 0.337 0.026 0.438 1
F7 0.179 0.642 0.948 1
F8 0.769 0.306 0.948 1
# - ΔE_f (raw): -1.53 eV/atom



# Mg3Tl5In (PBE-GGA, optimized geometry)
data_Mg3Tl5In
_chemical_formula_sum 'Mg6 Tl10 In2'
_cell_length_a 7.687
_cell_length_b 7.687
_cell_length_c 12.076
_cell_angle_alpha 63.71
_cell_angle_beta 63.71
_cell_angle_gamma 91.44
_space_group_name_H-M_alt 'P 1'
_space_group_IT_number 1
loop_
_space_group_symop_operation_xyz
'x,y,z'
loop_
_atom_site_label
_atom_site_fract_x
_atom_site_fract_y
_atom_site_fract_z
_atom_site_occupancy
Mg1 0.669 0.669 0.828 1
Mg2 0.668 0.668 0.332 1
Mg3 0.000 0.000 0.000 1
Mg4 0.000 0.000 0.500 1
Mg5 0.331 0.331 0.172 1
Mg6 0.332 0.332 0.668 1
Tl1 0.875 0.352 0.316 1
Tl2 0.263 0.737 0.000 1
Tl3 0.674 0.674 0.078 1
Tl4 0.329 0.329 0.422 1
Tl5 0.671 0.671 0.578 1
Tl6 0.326 0.326 0.922 1
Tl7 0.352 0.875 0.316 1
Tl8 0.737 0.263 0.000 1
Tl9 0.125 0.648 0.684 1
Tl10 0.648 0.125 0.684 1
In1 0.003 0.003 0.753 1
In2 0.997 0.997 0.247 1
# - Energy: -18.46 eV per formula unit



# Tl2HgRuO4 (PBE-GGA, optimized geometry)
data_Tl2HgRuO4
_chemical_formula_sum 'Tl4 Hg2 Ru2 O8'
_cell_length_a 8.198
_cell_length_b 6.862
_cell_length_c 11.201
_cell_angle_alpha 77.37
_cell_angle_beta 68.53
_cell_angle_gamma 53.32
_space_group_name_H-M_alt 'P 1'
_space_group_IT_number 1
loop_
_space_group_symop_operation_xyz
'x,y,z'
loop_
_atom_site_label
_atom_site_fract_x
_atom_site_fract_y
_atom_site_fract_z
_atom_site_occupancy
Tl1 0.217 0.000 0.566 1
Tl2 0.783 0.000 0.434 1
Tl3 0.533 0.500 0.934 1
Tl4 0.967 0.500 0.066 1
Hg1 0.750 0.500 0.500 1
Hg2 0.000 0.000 0.000 1
Ru1 0.250 0.500 0.500 1
Ru2 0.500 0.000 0.000 1
O1 0.423 0.804 0.094 1
O2 0.321 0.196 0.906 1
O3 0.773 0.804 0.906 1
O4 0.483 0.196 0.094 1
O5 0.327 0.696 0.406 1
O6 0.429 0.304 0.594 1
O7 0.977 0.696 0.594 1
O8 0.267 0.304 0.406 1
# - ΔE_f (raw): -0.54 eV/atom



Number 1: magnetic moment 0.147 μB/atom. Number 2: magnetic moment 0.000 μB/atom. Number 3: magnetic moment 0.254 μB/atom.